The following is a PBE calculation of TlFePdSe3 after structural relaxation, from the Open Quantum Materials Database.

SG = No. 11
crystal system = monoclinic
magnetic moment = 0.193 μB/atom

Unit cell a=7.8964 b=3.6185 c=9.7520 alpha=90.00 beta=111.61 gamma=90.00
Positions (direct):
Fe: 0.1932 0.7500 0.6526
Se: 0.9730 0.2500 0.6192
Tl: 0.2578 0.2500 0.2040
Pd: 0.4555 0.2500 0.8742
Se: 0.2320 0.7500 0.9037
Se: 0.6282 0.7500 0.3953
Se: 0.3718 0.2500 0.6047
Se: 0.7680 0.2500 0.0963
Fe: 0.8068 0.2500 0.3474
Se: 0.0270 0.7500 0.3808
Tl: 0.7422 0.7500 0.7960
Pd: 0.5445 0.7500 0.1258

The following is a PBE calculation of Ba4ZnHg after structural relaxation, from the Open Quantum Materials Database.

SG = No. 123
crystal system = tetragonal

Unit cell a=4.2268 b=4.2268 c=15.0875 alpha=90.00 beta=90.00 gamma=90.00
Positions (direct):
Zn: 0.5000 0.5000 0.0000
Ba: 0.5000 0.5000 0.6320
Ba: 0.0000 0.0000 0.8716
Ba: 0.0000 0.0000 0.1284
Ba: 0.5000 0.5000 0.3680
Hg: 0.0000 0.0000 0.5000

| no. | final energy (eV per atom) |
| --- | --- |
| 1 | -4.617 |
| 2 | -1.799 |